[1]
Er4MgPb5 after structural relaxation. Source: the Alexandria database, functional PBE-GGA.

Unit cell a=6.2982 b=7.5303 c=7.5303 alpha=79.93 beta=65.28 gamma=65.28
Last column: nearest neighbours and their distance in Å.
Fractional positions:
Pb: 0.6434 0.0000 0.0000  2 Mg 3.03-3.26, 4 Er 3.30
Pb: 0.2404 0.8252 0.6220  5 Er 3.11-3.18, 1 Mg 3.11
Pb: 0.8624 0.3780 0.8252  5 Er 3.11-3.18, 1 Mg 3.11
Mg: 0.1615 0.0000 0.0000  6 Pb 3.03-3.26
Pb: 0.6876 0.1748 0.3780  5 Er 3.11-3.18, 1 Mg 3.11
Er: 0.7704 0.7807 0.6032  6 Pb 3.11-3.30
Er: 0.5511 0.6032 0.2193  6 Pb 3.11-3.30
Er: 0.1543 0.2193 0.3968  6 Pb 3.11-3.30
Pb: 0.0656 0.6220 0.1748  5 Er 3.11-3.18, 1 Mg 3.11
Er: 0.3736 0.3968 0.7807  6 Pb 3.11-3.30

Summary:
**E_form**: -0.188 eV/atom

---

[2]
Y2PaAg after structural relaxation. Source: the Alexandria database, functional PBE-GGA.

Unit cell a=3.4675 b=3.4675 c=8.6845 alpha=90.00 beta=90.00 gamma=90.00
Last column: nearest neighbours and their distance in Å.
Fractional positions:
Pa: 0.5000 0.5000 0.5000  8 Y 3.40, 4 Pa 3.47
Y: 0.0000 0.0000 0.2293  4 Ag 3.16, 4 Pa 3.40, 4 Y 3.47
Y: 0.0000 0.0000 0.7707  4 Ag 3.16, 4 Pa 3.40, 4 Y 3.47
Ag: 0.5000 0.5000 0.0000  8 Y 3.16, 4 Ag 3.47

Summary:
**E_form**: -0.024 eV/atom
**Polymorph energy (0 for the lowest one)**: 0 meV per atom